No. 1
A plane-wave DFT calculation with PBE was carried out for a relaxed K6MnP4 crystal.

Properties
symmetry = P6_3mc, No. 186
size of the total moment = 1.786 μB per cell
VASP energy = -81.211 eV per cell

Cell: 9.929 9.929 7.938 Å, 90.00 90.00 120.00°
Element x y z (fractional)
Mn 0.667 0.333 0.755
K 0.936 0.468 0.363
K 0.711 0.855 0.545
P 0.667 0.333 0.031
Mn 0.333 0.667 0.255
K 0.145 0.855 0.545
P 0.789 0.578 0.666
P 0.422 0.211 0.666
P 0.333 0.667 0.531
K 0.855 0.145 0.045
P 0.789 0.211 0.666
P 0.578 0.789 0.166
K 0.145 0.289 0.545
K 0.855 0.711 0.045
K 0.064 0.532 0.863
K 0.468 0.936 0.863
K 0.532 0.064 0.363
K 0.468 0.532 0.863
K 0.289 0.145 0.045
P 0.211 0.422 0.166
K 0.532 0.468 0.363
P 0.211 0.789 0.166

***

No. 2
A plane-wave DFT calculation with PBE was carried out for a relaxed K2MnP crystal.

Properties
symmetry = R-3m, No. 166
size of the total moment = 4.640 μB per cell
VASP energy = -13.764 eV per cell

Cell: 11.641 11.641 11.641 Å, 16.64 16.64 16.64°
Element x y z (fractional)
P 0.750 0.750 0.750
Mn 0.250 0.250 0.250
K 0.011 0.011 0.011
K 0.489 0.489 0.489

***

No. 3
A plane-wave DFT calculation with PBE was carried out for a relaxed K4MnP crystal.

Properties
symmetry = F-43m, No. 216
size of the total moment = 4.631 μB per cell
VASP energy = -14.226 eV per cell

Cell: 6.841 6.841 6.841 Å, 60.00 60.00 60.00°
Element x y z (fractional)
K 0.881 0.373 0.373
K 0.373 0.373 0.881
P 0.000 0.000 0.000
K 0.373 0.373 0.373
Mn 0.750 0.750 0.750
K 0.373 0.881 0.373

***

No. 4
A plane-wave DFT calculation with PBE was carried out for a relaxed KMnP2 crystal.

Properties
symmetry = Cm, No. 8
size of the total moment = 2.412 μB per cell
VASP energy = -22.047 eV per cell

Cell: 4.005 4.005 7.278 Å, 68.75 68.75 49.08°
Element x y z (fractional)
P 0.677 0.677 0.872
K 0.531 0.531 0.490
P 0.971 0.971 0.132
Mn 0.322 0.322 0.006

***

No. 5
A plane-wave DFT calculation with PBE was carried out for a relaxed K2MnP crystal.

Properties
symmetry = P4/mmm, No. 123
size of the total moment = 4.211 μB per cell
VASP energy = -14.294 eV per cell

Cell: 3.204 3.204 10.959 Å, 90.00 90.00 90.00°
Element x y z (fractional)
K 0.000 0.000 0.958
Mn 0.500 0.500 0.250
K 0.000 0.000 0.542
P 0.500 0.500 0.750

***

No. 6
A plane-wave DFT calculation with PBE was carried out for a relaxed K2MnP crystal.

Properties
symmetry = Pm, No. 6
size of the total moment = 4.004 μB per cell
VASP energy = -16.933 eV per cell

Cell: 4.431 5.597 6.134 Å, 62.89 90.00 90.00°
Element x y z (fractional)
K 0.000 0.973 0.928
P 0.500 0.599 0.678
K 0.500 0.283 0.309
Mn 0.000 0.645 0.584

***

No. 7
A plane-wave DFT calculation with PBE was carried out for a relaxed KMnP2 crystal.

Properties
symmetry = C2/m, No. 12
size of the total moment = 2.373 μB per cell
VASP energy = -22.148 eV per cell

Cell: 4.033 4.033 6.640 Å, 78.72 78.72 49.22°
Element x y z (fractional)
P 0.526 0.526 0.378
Mn 0.250 0.250 0.250
P 0.974 0.974 0.122
K 0.750 0.750 0.750

***

No. 8
A plane-wave DFT calculation with PBE was carried out for a relaxed KMnP4 crystal.

Properties
symmetry = F-43m, No. 216
size of the total moment = 4.643 μB per cell
VASP energy = -29.344 eV per cell

Cell: 5.524 5.524 5.524 Å, 60.00 60.00 60.00°
Element x y z (fractional)
Mn 0.000 0.000 0.000
K 0.750 0.750 0.750
P 0.931 0.356 0.356
P 0.356 0.931 0.356
P 0.356 0.356 0.356
P 0.356 0.356 0.931